# Pu5ZnGa4 (PBE, optimized geometry)
# **Formation energy from the elements**: -201 kJ/mol of formula units
data_Pu5ZnGa4
_symmetry_space_group_name_H-M 'P 1'
_symmetry_Int_Tables_number 1
_symmetry_space_group_name_Hall 'P 1'
_cell_length_a 3.5342
_cell_length_b 3.5342
_cell_length_c 18.1534
_cell_angle_alpha 90.00
_cell_angle_beta 90.00
_cell_angle_gamma 90.00
loop_
_atom_site_label
_atom_site_type_symbol
_atom_site_fract_x
_atom_site_fract_y
_atom_site_fract_z
Pu1 Pu 0.0000 0.0000 0.0000
Pu2 Pu 0.0000 0.0000 0.2008
Pu3 Pu 0.0000 0.0000 0.3993
Pu4 Pu 0.0000 0.0000 0.6007
Pu5 Pu 0.0000 0.0000 0.7992
Zn1 Zn 0.5000 0.5000 0.5000
Ga1 Ga 0.5000 0.5000 0.0994
Ga2 Ga 0.5000 0.5000 0.3003
Ga3 Ga 0.5000 0.5000 0.6997
Ga4 Ga 0.5000 0.5000 0.9006



# ThZn12Ni4 (PBE, optimized geometry)
# **Formation energy from the elements**: 223 kJ/mol of formula units
data_ThZn12Ni4
_symmetry_space_group_name_H-M 'P 1'
_symmetry_Int_Tables_number 1
_symmetry_space_group_name_Hall 'P 1'
_cell_length_a 7.3043
_cell_length_b 7.3043
_cell_length_c 7.3043
_cell_angle_alpha 109.47
_cell_angle_beta 109.47
_cell_angle_gamma 109.47
loop_
_atom_site_label
_atom_site_type_symbol
_atom_site_fract_x
_atom_site_fract_y
_atom_site_fract_z
Th1 Th 0.0000 0.0000 0.0000
Zn1 Zn 0.1645 0.3472 0.5117
Zn2 Zn 0.1645 0.6528 0.8174
Zn3 Zn 0.1826 0.8355 0.3472
Zn4 Zn 0.3472 0.1826 0.8355
Zn5 Zn 0.3472 0.5117 0.1645
Zn6 Zn 0.4883 0.8355 0.6528
Zn7 Zn 0.5117 0.1645 0.3472
Zn8 Zn 0.6528 0.4883 0.8355
Zn9 Zn 0.6528 0.8174 0.1645
Zn10 Zn 0.8174 0.1645 0.6528
Zn11 Zn 0.8355 0.3472 0.1826
Zn12 Zn 0.8355 0.6528 0.4883
Ni1 Ni 0.0000 0.0000 0.5000
Ni2 Ni 0.0000 0.5000 0.0000
Ni3 Ni 0.5000 0.0000 0.0000
Ni4 Ni 0.5000 0.5000 0.5000



# RbTcNF2 (PBE, optimized geometry)
# **Relative energy among the computed polymorphs**: 10.75 eV per formula unit
# **ΔE_f (raw)**: 0.912 eV/atom
data_RbTcNF2
_symmetry_space_group_name_H-M 'P 1'
_symmetry_Int_Tables_number 1
_symmetry_space_group_name_Hall 'P 1'
_cell_length_a 4.8415
_cell_length_b 4.8415
_cell_length_c 4.5727
_cell_angle_alpha 90.00
_cell_angle_beta 90.00
_cell_angle_gamma 90.00
loop_
_atom_site_label
_atom_site_type_symbol
_atom_site_fract_x
_atom_site_fract_y
_atom_site_fract_z
Rb1 Rb 0.0000 0.0000 0.0000
Tc1 Tc 0.5000 0.5000 0.5000
N1 N 0.0000 0.0000 0.5000
F1 F 0.0000 0.5000 0.0000
F2 F 0.5000 0.0000 0.0000



no.,N(E_F) (states/eV per cell)
1,30.89
2,8.48
3,3.34